[1]
Crystalline Th3NpN6 at its relaxed geometry, computed with PBE.

Output
Formation energy from raw total energies ... -15.08 eV/f.u.
Volume ... 343.0 Å³ per cell
Excess energy over the best structure of this formula in the dataset ... 0.00 kJ per mole of atoms
Electronic total energy ... -0.368 hartree per atom

Cell lengths 7.004, 7.004, 7.004 Å; angles 91.94, 91.94, 91.94 degrees
Last column: magnetic moment on the atom in μB.
Fractional coordinates of all 20 atoms:
Th: 0.061 0.556 0.252  -0.01
Th: 0.252 0.061 0.556  -0.01
Th: 0.444 0.748 0.939  -0.01
Th: 0.556 0.252 0.061  -0.01
Th: 0.748 0.939 0.444  -0.01
Th: 0.939 0.444 0.748  -0.01
Np: 0.000 0.000 0.000  1.30
Np: 0.500 0.500 0.500  1.25
N: 0.082 0.703 0.943  -0.04
N: 0.057 0.918 0.297  -0.04
N: 0.202 0.407 0.534  -0.04
N: 0.297 0.057 0.918  -0.04
N: 0.407 0.534 0.202  -0.04
N: 0.466 0.798 0.593  -0.04
N: 0.534 0.202 0.407  -0.04
N: 0.593 0.466 0.798  -0.04
N: 0.703 0.943 0.082  -0.04
N: 0.798 0.593 0.466  -0.04
N: 0.943 0.082 0.703  -0.04
N: 0.918 0.297 0.057  -0.04


[2]
Crystalline ThNpU2N4 at its relaxed geometry, computed with PBE.

Output
Formation energy from raw total energies ... -10.37 eV/f.u.
Volume ... 120.9 Å³ per cell
Electronic total energy ... -0.398 hartree per atom

Cell lengths 3.497, 6.051, 6.061 Å; angles 109.53, 90.00, 90.00 degrees
Last column: magnetic moment on the atom in μB.
Fractional coordinates of all 8 atoms:
Th: 0.500 0.500 0.000  0.01
Np: 0.000 0.000 0.000  3.32
U: 0.500 0.000 0.500  -0.41
U: 0.000 0.500 0.500  -0.89
N: 0.500 0.249 0.268  -0.03
N: 0.500 0.751 0.732  -0.03
N: 0.000 0.235 0.726  0.00
N: 0.000 0.765 0.274  0.00


[3]
Crystalline Th2NpWN6 at its relaxed geometry, computed with PBE.

Output
Formation energy from raw total energies ... -10.71 eV/f.u.
Volume ... 154.8 Å³ per cell
Electronic total energy ... -0.373 hartree per atom

Cell lengths 5.083, 5.519, 5.519 Å; angles 90.00, 90.00, 90.00 degrees
Last column: magnetic moment on the atom in μB.
Fractional coordinates of all 10 atoms:
Th: 0.005 0.500 0.000  0.07
Th: 0.005 0.000 0.500  0.07
Np: 0.562 0.500 0.500  2.68
W: 0.590 0.000 0.000  0.16
N: 0.729 0.239 0.239  -0.04
N: 0.729 0.239 0.761  -0.04
N: 0.146 0.500 0.500  -0.10
N: 0.224 0.000 0.000  0.00
N: 0.729 0.761 0.761  -0.04
N: 0.729 0.761 0.239  -0.04


[4]
Crystalline Y3Th2NpN6 at its relaxed geometry, computed with PBE.

Output
Formation energy from raw total energies ... -18.27 eV/f.u.
Volume ... 188.8 Å³ per cell
Electronic total energy ... -0.353 hartree per atom

Cell lengths 6.136, 6.136, 6.140 Å; angles 99.60, 99.60, 119.96 degrees
Last column: magnetic moment on the atom in μB.
Fractional coordinates of all 12 atoms:
Y: 0.166 0.834 0.500  -0.04
Y: 0.834 0.166 0.500  -0.04
Y: 0.500 0.500 0.500  -0.04
Th: 0.333 0.667 0.000  -0.08
Th: 0.667 0.333 0.000  -0.08
Np: 0.000 0.000 0.000  -3.23
N: 0.917 0.593 0.750  0.04
N: 0.759 0.759 0.249  0.04
N: 0.083 0.407 0.250  0.04
N: 0.593 0.917 0.750  0.04
N: 0.241 0.241 0.751  0.04
N: 0.407 0.083 0.250  0.04


[5]
Crystalline Y2ThNpN4 at its relaxed geometry, computed with PBE.

Output
Formation energy from raw total energies ... -11.86 eV/f.u.
Volume ... 124.1 Å³ per cell
Electronic total energy ... -0.360 hartree per atom

Cell lengths 3.525, 6.102, 6.116 Å; angles 109.46, 90.00, 90.00 degrees
Last column: magnetic moment on the atom in μB.
Fractional coordinates of all 8 atoms:
Y: 0.500 0.000 0.500  0.04
Y: 0.000 0.500 0.500  0.08
Th: 0.500 0.500 0.000  0.10
Np: 0.000 0.000 0.000  3.31
N: 0.500 0.239 0.244  -0.09
N: 0.500 0.761 0.756  -0.09
N: 0.000 0.243 0.750  -0.04
N: 0.000 0.757 0.250  -0.04


[6]
Crystalline Th2ZrNpN4 at its relaxed geometry, computed with PBE.

Output
Formation energy from raw total energies ... -11.66 eV/f.u.
Volume ... 121.0 Å³ per cell
Electronic total energy ... -0.373 hartree per atom

Cell lengths 3.469, 6.018, 6.124 Å; angles 108.83, 90.00, 90.00 degrees
Last column: magnetic moment on the atom in μB.
Fractional coordinates of all 8 atoms:
Th: 0.500 0.000 0.500  0.01
Th: 0.000 0.500 0.500  0.03
Zr: 0.000 0.000 0.000  0.05
Np: 0.500 0.500 0.000  2.84
N: 0.500 0.236 0.220  -0.04
N: 0.500 0.764 0.780  -0.04
N: 0.000 0.254 0.780  -0.07
N: 0.000 0.746 0.220  -0.07


[7]
Crystalline ThZrNp2N4 at its relaxed geometry, computed with PBE.

Output
Formation energy from raw total energies ... -10.72 eV/f.u.
Volume ... 116.6 Å³ per cell
Electronic total energy ... -0.394 hartree per atom

Cell lengths 3.440, 6.053, 5.924 Å; angles 109.11, 90.00, 90.00 degrees
Last column: magnetic moment on the atom in μB.
Fractional coordinates of all 8 atoms:
Th: 0.500 0.500 0.000  -0.06
Zr: 0.000 0.000 0.000  0.00
Np: 0.500 0.000 0.500  -2.67
Np: 0.000 0.500 0.500  -3.35
N: 0.500 0.230 0.249  0.08
N: 0.500 0.770 0.751  0.08
N: 0.000 0.222 0.739  0.08
N: 0.000 0.778 0.261  0.08


[8]
Crystalline NpTi4N6 at its relaxed geometry, computed with PBE.

Output
Formation energy from raw total energies ... -16.39 eV/f.u.
Volume ... 230.8 Å³ per cell
Electronic total energy ... -0.370 hartree per atom

Cell lengths 3.039, 5.227, 15.188 Å; angles 90.00, 90.00, 106.90 degrees
Last column: magnetic moment on the atom in μB.
Fractional coordinates of all 22 atoms:
Np: 0.662 0.325 0.250  2.69
Np: 0.338 0.675 0.750  2.69
Ti: 0.863 0.726 0.546  0.04
Ti: 0.403 0.806 0.128  0.05
Ti: 0.137 0.274 0.454  0.04
Ti: 0.597 0.194 0.872  0.05
Ti: 0.863 0.726 0.954  0.04
Ti: 0.137 0.274 0.046  0.04
Ti: 0.597 0.194 0.628  0.05
Ti: 0.403 0.806 0.372  0.05
N: 0.500 0.000 0.000  -0.01
N: 0.500 0.000 0.500  -0.01
N: 0.038 0.077 0.340  -0.05
N: 0.962 0.923 0.660  -0.05
N: 0.962 0.923 0.840  -0.05
N: 0.038 0.077 0.160  -0.05
N: 0.769 0.539 0.414  -0.01
N: 0.231 0.461 0.586  -0.01
N: 0.231 0.461 0.914  -0.01
N: 0.769 0.539 0.086  -0.01
N: 0.325 0.651 0.250  -0.08
N: 0.675 0.349 0.750  -0.08


[9]
Crystalline Tm3Np3TiN8 at its relaxed geometry, computed with PBE.

Output
Formation energy from raw total energies ... -20.26 eV/f.u.
Volume ... 213.4 Å³ per cell
Electronic total energy ... -0.360 hartree per atom

Cell lengths 6.684, 6.685, 6.731 Å; angles 119.77, 90.00, 120.00 degrees
Last column: magnetic moment on the atom in μB.
Fractional coordinates of all 15 atoms:
Tm: 0.000 0.000 0.000  0.16
Tm: 0.000 0.500 0.000  0.16
Tm: 0.500 0.500 0.000  0.16
Np: 0.500 0.000 0.500  3.05
Np: 0.500 0.500 0.500  3.05
Np: 0.000 0.500 0.500  3.05
Ti: 0.000 0.000 0.500  0.13
N: 0.247 0.494 0.242  -0.10
N: 0.753 0.506 0.758  -0.10
N: 0.774 0.547 0.284  -0.10
N: 0.226 0.453 0.716  -0.10
N: 0.774 0.010 0.284  -0.10
N: 0.226 0.990 0.716  -0.10
N: 0.236 0.010 0.284  -0.10
N: 0.764 0.990 0.716  -0.10


[10]
Crystalline Tm3NpN4 at its relaxed geometry, computed with PBE.

Output
Formation energy from raw total energies ... -13.05 eV/f.u.
Volume ... 224.3 Å³ per cell
Electronic total energy ... -0.334 hartree per atom

Cell lengths 5.904, 5.914, 6.818 Å; angles 90.00, 90.00, 109.58 degrees
Last column: magnetic moment on the atom in μB.
Fractional coordinates of all 16 atoms:
Np: 0.750 0.000 0.873  3.06
Np: 0.250 0.000 0.127  3.06
Tm: 0.750 0.000 0.376  0.08
Tm: 0.250 0.000 0.624  0.08
Tm: 0.750 0.500 0.623  0.06
Tm: 0.750 0.500 0.127  0.09
Tm: 0.250 0.500 0.377  0.06
Tm: 0.250 0.500 0.873  0.09
N: 0.994 0.247 0.630  -0.05
N: 0.501 0.245 0.877  -0.09
N: 0.494 0.247 0.370  -0.05
N: 0.001 0.245 0.123  -0.09
N: 0.999 0.755 0.877  -0.09
N: 0.506 0.753 0.630  -0.05
N: 0.499 0.755 0.123  -0.09
N: 0.006 0.753 0.370  -0.05


[11]
Crystalline Tm4NpN5 at its relaxed geometry, computed with PBE.

Output
Formation energy from raw total energies ... -16.74 eV/f.u.
Volume ... 139.4 Å³ per cell
Electronic total energy ... -0.328 hartree per atom

Cell lengths 4.823, 5.892, 5.892 Å; angles 80.36, 65.84, 65.84 degrees
Last column: magnetic moment on the atom in μB.
Fractional coordinates of all 10 atoms:
Tm: 0.402 0.400 0.798  0.06
Tm: 0.802 0.798 0.600  0.06
Tm: 0.200 0.202 0.400  0.06
Tm: 0.600 0.600 0.202  0.06
Np: 0.001 0.000 0.000  2.82
N: 0.905 0.387 0.804  -0.05
N: 0.293 0.804 0.613  -0.05
N: 0.709 0.196 0.387  -0.05
N: 0.097 0.613 0.196  -0.05
N: 0.501 0.000 0.000  -0.09


[12]
Crystalline Tm2NpN at its relaxed geometry, computed with PBE.

Output
Formation energy from raw total energies ... -1.80 eV/f.u.
Volume ... 88.8 Å³ per cell
Electronic total energy ... -0.294 hartree per atom

Cell lengths 3.301, 3.301, 9.603 Å; angles 80.10, 80.10, 60.00 degrees
Last column: magnetic moment on the atom in μB.
Fractional coordinates of all 4 atoms:
Np: 0.000 0.000 0.000  4.25
Tm: 0.119 0.119 0.643  -0.09
Tm: 0.881 0.881 0.357  -0.09
N: 0.500 0.500 0.500  0.01